(1)
# GGA-PBE PuIn2Cl6, relaxed
data_PuIn2Cl6
_chemical_formula_sum 'Pu2 In4 Cl12'
_cell_length_a 4.9125
_cell_length_b 7.1014
_cell_length_c 14.6561
_cell_angle_alpha 90.00
_cell_angle_beta 90.00
_cell_angle_gamma 90.00
_space_group_name_H-M_alt 'I m m m'
_space_group_IT_number 71
_space_group_name_Hall '-I 2 2'
loop_
_atom_site_label
_atom_site_type_symbol
_atom_site_fract_x
_atom_site_fract_y
_atom_site_fract_z
_atom_site_occupancy
Pu1 Pu 0.0000 0.0000 0.0000 1
In1 In 0.0000 0.0000 0.3327 1
Cl1 Cl 0.0000 0.2335 0.1506 1
Cl2 Cl 0.0000 0.2802 0.5000 1
# Size of the total moment (μB per formula unit): 4.00
# Energy above the lowest structure with this stoichiometry (meV/atom): 49
# Raw formation energy (eV/atom): -1.281
# Uncorrected energy (eV per atom): -4.7130
# Density (g cm⁻³): 4.5
# Volume (Å³/atom): 28.405



(2)
# GGA-PBE PuIn3Cl7, relaxed
data_PuIn3Cl7
_chemical_formula_sum 'Pu2 In6 Cl14'
_cell_length_a 10.4611
_cell_length_b 9.8692
_cell_length_c 7.9628
_cell_angle_alpha 90.00
_cell_angle_beta 119.32
_cell_angle_gamma 90.00
_space_group_name_H-M_alt 'C 1 m 1'
_space_group_IT_number 8
_space_group_name_Hall 'C -2y'
loop_
_atom_site_label
_atom_site_type_symbol
_atom_site_fract_x
_atom_site_fract_y
_atom_site_fract_z
_atom_site_occupancy
Pu1 Pu 0.0000 0.0000 0.0000 1
In1 In 0.0670 0.5000 0.0570 1
In2 In 0.0780 0.2344 0.5537 1
Cl1 Cl 0.1734 0.0000 0.8336 1
Cl2 Cl 0.1786 0.1861 0.2432 1
Cl3 Cl 0.1838 0.5000 0.7912 1
Cl4 Cl 0.4072 0.5000 0.2666 1
Cl5 Cl 0.4104 0.2689 0.7789 1
# Size of the total moment (μB per formula unit): 3.99
# Raw formation energy (eV/atom): -1.217
# Uncorrected energy (eV per atom): -4.4415
# Density (g cm⁻³): 3.9
# Volume (Å³/atom): 32.582



Repeat the second record exactly.
# GGA-PBE PuIn3Cl7, relaxed
data_PuIn3Cl7
_chemical_formula_sum 'Pu2 In6 Cl14'
_cell_length_a 10.4611
_cell_length_b 9.8692
_cell_length_c 7.9628
_cell_angle_alpha 90.00
_cell_angle_beta 119.32
_cell_angle_gamma 90.00
_space_group_name_H-M_alt 'C 1 m 1'
_space_group_IT_number 8
_space_group_name_Hall 'C -2y'
loop_
_atom_site_label
_atom_site_type_symbol
_atom_site_fract_x
_atom_site_fract_y
_atom_site_fract_z
_atom_site_occupancy
Pu1 Pu 0.0000 0.0000 0.0000 1
In1 In 0.0670 0.5000 0.0570 1
In2 In 0.0780 0.2344 0.5537 1
Cl1 Cl 0.1734 0.0000 0.8336 1
Cl2 Cl 0.1786 0.1861 0.2432 1
Cl3 Cl 0.1838 0.5000 0.7912 1
Cl4 Cl 0.4072 0.5000 0.2666 1
Cl5 Cl 0.4104 0.2689 0.7789 1
# Size of the total moment (μB per formula unit): 3.99
# Raw formation energy (eV/atom): -1.217
# Uncorrected energy (eV per atom): -4.4415
# Density (g cm⁻³): 3.9
# Volume (Å³/atom): 32.582